First-principles (PBE with a Hubbard U) data for a geometry-optimized NdMnO3 structure, as listed in Alexandria via LeMat-Bulk.

Energy = -7.7600 eV/atom

a b c (Å): 6.0967 6.0967 7.2420
angles (deg): 117.16 117.16 37.96
Fractional coordinates of all 10 atoms:
1 Nd 0.0994 0.0994 0.3223
2 Nd 0.9006 0.9006 0.6777
3 Mn 0.3349 0.3349 0.9737
4 Mn 0.6651 0.6651 0.0263
5 O 0.1520 0.1520 0.0275
6 O 0.2582 0.2582 0.6698
7 O 0.4758 0.4758 0.2505
8 O 0.5242 0.5242 0.7495
9 O 0.7418 0.7418 0.3302
10 O 0.8480 0.8480 0.9725